1.
# FeIO3

A relaxed FeIO3 crystal (PBE+U, Alexandria).

a = 3.924 Å, b = 3.924 Å, c = 3.924 Å
α = 90.00°, β = 90.00°, γ = 90.00°
Last column: magnetic moment on the atom in μB.
Sites, in units of the cell vectors:
Fe1 0.000 0.000 0.000  4.35
O1 0.500 0.000 0.000  0.15
O2 0.000 0.500 0.000  0.11
O3 0.000 0.000 0.500  0.08
I1 0.500 0.500 0.500  -0.04

Properties
density of states at the Fermi level = 2.89 states/eV/f.u.
E = -4.638 eV per atom
total magnetization = 4.70 Bohr magnetons per cell
SG = Pm-3m

2.
# FeI2O

A relaxed FeI2O crystal (PBE+U, Alexandria).

a = 6.920 Å, b = 6.920 Å, c = 6.848 Å
α = 59.65°, β = 59.65°, γ = 90.00°
Last column: magnetic moment on the atom in μB.
Sites, in units of the cell vectors:
O1 0.500 0.500 0.000  -1.00
O2 0.250 0.750 0.500  -1.00
I1 0.639 0.125 0.250  -0.02
I2 0.111 0.625 0.250  -0.01
I3 0.375 0.361 0.750  -0.02
I4 0.875 0.889 0.750  -0.01
Fe1 0.000 0.000 0.000  3.68
Fe2 0.750 0.250 0.500  3.67

Properties
density of states at the Fermi level = 10.84 states/eV/f.u.
total magnetization = 4.91 Bohr magnetons per cell
energy above the most stable polymorph in this dataset = 0.000 eV/atom
SG = I-42d

3.
# Fe2IO6

A relaxed Fe2IO6 crystal (PBE+U, Alexandria).

a = 4.714 Å, b = 4.714 Å, c = 9.315 Å
α = 90.00°, β = 90.00°, γ = 90.00°
Last column: magnetic moment on the atom in μB.
Sites, in units of the cell vectors:
O1 0.693 0.693 0.664  0.06
O2 0.693 0.693 0.336  0.06
O3 0.301 0.301 0.000  0.08
O4 0.699 0.699 0.000  0.08
O5 0.307 0.307 0.664  0.06
O6 0.807 0.193 0.836  0.06
O7 0.807 0.193 0.164  0.06
O8 0.199 0.801 0.500  0.08
O9 0.193 0.807 0.836  0.06
O10 0.307 0.307 0.336  0.06
O11 0.801 0.199 0.500  0.08
O12 0.193 0.807 0.164  0.06
Fe1 0.500 0.500 0.165  4.32
Fe2 0.000 0.000 0.665  4.32
Fe3 0.000 0.000 0.335  4.32
Fe4 0.500 0.500 0.835  4.32
I1 0.500 0.500 0.500  -0.06
I2 0.000 0.000 0.000  -0.06

Properties
density of states at the Fermi level = 1.14 states/eV/f.u.
E = -5.633 eV per atom
total magnetization = 18.16 Bohr magnetons per cell
SG = P4_2/mnm